Nd6Ir2PbI3 (PBE, optimized geometry); formation energy (no corrections) = -0.89 eV/atom; D(E_F) = 5.1 states/eV/cell
1.0
10.1920 -2.1629 0.0000
10.1920 2.1629 0.0000
-3.0745 0.0000 9.0148
Nd Ir Pb I
6 2 1 3
Direct
0.0280 0.0280 0.2519
0.3174 0.3174 0.4450
0.3346 0.3346 0.8555
0.6654 0.6654 0.1445
0.6826 0.6826 0.5550
0.9720 0.9720 0.7481
0.1711 0.1711 0.3458
0.8289 0.8289 0.6542
0.5000 0.5000 0.0000
0.1614 0.1614 0.8423
0.5000 0.5000 0.5000
0.8386 0.8386 0.1577